Computed, not measured: a relaxed La2Pm9Nd crystal at the PBE level of DFT.

Cell lengths 3.573, 11.623, 11.623 Å; angles 120.00, 90.00, 90.00 degrees
Sites, in units of the cell vectors:
La 0.000 0.333 0.667
La 0.000 0.667 0.333
Pm 0.000 0.000 0.500
Pm 0.000 0.500 0.500
Pm 0.000 0.500 0.000
Pm 0.500 0.343 0.172
Pm 0.500 0.172 0.828
Pm 0.500 0.172 0.343
Pm 0.500 0.828 0.657
Pm 0.500 0.828 0.172
Pm 0.500 0.657 0.828
Nd 0.000 0.000 0.000

Properties
Energy of formation from the pure elements   61 kJ/mol of formula units